A plane-wave DFT calculation with PBE-GGA was carried out for crystalline Sm9Er2Tm at its relaxed geometry.

Crystal system: tetragonal
Space group: P4/mmm, No. 123
DOS at the Fermi energy in states/eV/atom: 1.537
Energy in eV/atom: -4.65
Volume in Å³ per atom: 32.82
Mass density in g/cm³: 7.827

abc: 5.083 5.083 15.246
angles: 90.00 90.00 90.00
Element x y z (fractional)
Sm 0.000 0.000 0.000
Sm 0.000 0.000 0.333
Sm 0.000 0.000 0.667
Sm 0.000 0.500 0.166
Sm 0.000 0.500 0.500
Sm 0.000 0.500 0.834
Sm 0.500 0.000 0.166
Sm 0.500 0.000 0.500
Sm 0.500 0.000 0.834
Er 0.500 0.500 0.333
Er 0.500 0.500 0.667
Tm 0.500 0.500 0.000